# PrYPb2 | Alexandria via LeMat-Bulk | PBE | optimized geometry
# Uncorrected energy, eV per atom: -5.035
# E_form, eV/atom: -0.3697
# Symmetry: R3m (160)
data_PrYPb2
_chemical_formula_sum 'Pr1 Y1 Pb2'
_cell_length_a 7.3972
_cell_length_b 7.3972
_cell_length_c 7.3972
_cell_angle_alpha 38.10
_cell_angle_beta 38.10
_cell_angle_gamma 38.10
_symmetry_space_group_name_H-M 'P 1'
_symmetry_Int_Tables_number 1
loop_
_symmetry_equiv_pos_as_xyz
'x,y,z'
loop_
_atom_site_label
_atom_site_type_symbol
_atom_site_fract_x
_atom_site_fract_y
_atom_site_fract_z
Pr1 Pr 0.0000 0.0000 0.0000
Y1 Y 0.1774 0.1774 0.1774
Pb1 Pb 0.4256 0.4256 0.4256
Pb2 Pb 0.5828 0.5828 0.5828